This record from Alexandria via LeMat-Bulk describes a relaxed structure of Ni2SnO. The functional is GGA+U.

Results
The polymorph energy (0 for the lowest one) comes out at 0.0 meV per atom. The crystal system is tetragonal. The calculation puts the magnetic moment at 0.21 μB/atom.

Cell: 4.7543 4.7543 6.5612 Å, 68.76 68.76 90.00°
Last column: nearest neighbours and their distance in Å.
Atoms (fractional coordinates):
1 Sn 0.7500 0.2500 0.5000  4 Ni 2.74
2 Sn 0.0000 0.0000 0.0000  4 Ni 2.74
3 O 0.5000 0.5000 0.0000  4 Ni 1.88
4 O 0.2500 0.7500 0.5000  4 Ni 1.88
5 Ni 0.4495 0.1250 0.2500  2 O 1.88
6 Ni 0.3005 0.6250 0.2500  2 O 1.88
7 Ni 0.3750 0.5505 0.7500  2 O 1.88
8 Ni 0.8750 0.6995 0.7500  2 O 1.88